A plane-wave DFT calculation with PBE-GGA was carried out for a geometry-optimized CuBSb2Te structure.

a b c (Å): 4.812 4.812 4.810
angles (deg): 90.00 90.00 90.00
Sites, in units of the cell vectors:
Sb 0.500 0.000 0.000
B 0.000 0.000 0.000
Cu 0.500 0.500 0.500
Te 0.000 0.000 0.500
Sb 0.000 0.500 0.000

For the formation energy without anion corrections, the calculation gives 903.1 meV per atom. The value obtained for the energy above the lowest structure with this stoichiometry is 0.0 meV per atom.

A plane-wave DFT calculation with PBE-GGA was carried out for a geometry-optimized Y2CuBSb structure.

a b c (Å): 5.021 4.437 5.021
angles (deg): 90.00 90.00 90.00
Sites, in units of the cell vectors:
Y 0.000 0.000 0.500
Cu 0.500 0.500 0.500
B 0.000 0.000 0.000
Sb 0.000 0.500 0.000
Y 0.500 0.000 0.000

For the formation energy without anion corrections, the calculation gives 23.2 meV per atom. The value obtained for the energy above the lowest structure with this stoichiometry is 0.0 meV per atom.

A plane-wave DFT calculation with PBE-GGA was carried out for a geometry-optimized Y2CuBSb structure.

a b c (Å): 5.224 4.641 5.224
angles (deg): 90.00 90.00 90.00
Sites, in units of the cell vectors:
B 0.500 0.500 0.500
Y 0.500 0.000 0.000
Sb 0.000 0.500 0.000
Y 0.000 0.000 0.500
Cu 0.000 0.000 0.000

For the formation energy without anion corrections, the calculation gives 695.0 meV per atom. The value obtained for the energy above the lowest structure with this stoichiometry is 671.9 meV per atom.

A plane-wave DFT calculation with PBE-GGA was carried out for a geometry-optimized ScCuB3 structure.

a b c (Å): 4.322 4.322 4.322
angles (deg): 90.00 90.00 90.00
Sites, in units of the cell vectors:
Cu 0.500 0.500 0.500
Sc 0.000 0.000 0.000
B 0.000 0.000 0.500
B 0.000 0.500 0.000
B 0.500 0.000 0.000

The calculation puts the formation energy at 2215 meV/atom. The value obtained for the energy above the lowest structure with this stoichiometry is 1330.7 meV per atom.

A plane-wave DFT calculation with PBE-GGA was carried out for a geometry-optimized Sc2CuB2 structure.

a b c (Å): 6.186 6.186 3.429
angles (deg): 90.00 90.00 90.00
Sites, in units of the cell vectors:
B 0.096 0.404 0.000
Cu 0.000 0.000 0.000
B 0.404 0.904 0.000
B 0.596 0.096 0.000
Sc 0.682 0.818 0.500
Cu 0.500 0.500 0.000
Sc 0.182 0.682 0.500
B 0.904 0.596 0.000
Sc 0.318 0.182 0.500
Sc 0.818 0.318 0.500

The calculation puts the formation energy at -371 meV/atom. The value obtained for the energy above the lowest structure with this stoichiometry is 0.0 meV per atom.

A plane-wave DFT calculation with PBE-GGA was carried out for a geometry-optimized ScCuB2 structure.

a b c (Å): 3.738 3.738 7.440
angles (deg): 75.45 75.45 90.00
Sites, in units of the cell vectors:
B 0.375 0.125 0.750
Sc 0.250 0.750 0.500
Cu 0.000 0.000 0.000
Cu 0.750 0.250 0.500
B 0.875 0.125 0.750
B 0.875 0.625 0.250
Sc 0.500 0.500 0.000
B 0.875 0.125 0.250

The calculation puts the formation energy at 9 meV/atom. The value obtained for the energy above the lowest structure with this stoichiometry is 0.0 meV per atom.

A plane-wave DFT calculation with PBE-GGA was carried out for a geometry-optimized ScCuB3 structure.

a b c (Å): 3.851 3.851 3.851
angles (deg): 90.00 90.00 90.00
Sites, in units of the cell vectors:
Sc 0.500 0.500 0.500
Cu 0.000 0.000 0.000
B 0.000 0.500 0.000
B 0.000 0.000 0.500
B 0.500 0.000 0.000

The calculation puts the formation energy at 884 meV/atom. The value obtained for the energy above the lowest structure with this stoichiometry is 0.0 meV per atom.

A plane-wave DFT calculation with PBE-GGA was carried out for a geometry-optimized Sc2CuB2 structure.

a b c (Å): 2.895 2.895 8.376
angles (deg): 80.05 80.05 90.00
Sites, in units of the cell vectors:
Cu 0.000 0.000 0.000
Sc 0.376 0.376 0.247
Sc 0.624 0.624 0.753
B 0.750 0.250 0.500
B 0.250 0.750 0.500

The calculation puts the formation energy at 273 meV/atom. The value obtained for the energy above the lowest structure with this stoichiometry is 643.3 meV per atom.

A plane-wave DFT calculation with PBE-GGA was carried out for a geometry-optimized ScCuB4 structure.

a b c (Å): 3.371 5.793 11.302
angles (deg): 90.00 90.00 90.00
Sites, in units of the cell vectors:
B 0.500 0.710 0.686
B 0.500 0.634 0.532
Sc 0.000 0.875 0.849
B 0.500 0.134 0.968
B 0.500 0.526 0.805
Cu 0.000 0.865 0.590
B 0.500 0.474 0.195
B 0.500 0.866 0.032
Sc 0.000 0.375 0.651
Sc 0.000 0.125 0.151
B 0.500 0.290 0.314
B 0.500 0.384 0.051
B 0.500 0.366 0.468
B 0.500 0.974 0.305
Sc 0.000 0.625 0.349
B 0.500 0.210 0.814
Cu 0.000 0.135 0.410
Cu 0.000 0.365 0.910
B 0.500 0.116 0.551
B 0.500 0.790 0.186
Cu 0.000 0.635 0.090
B 0.500 0.026 0.695
B 0.500 0.884 0.449
B 0.500 0.616 0.949

The calculation puts the formation energy at -363 meV/atom.

A plane-wave DFT calculation with PBE-GGA was carried out for a geometry-optimized ScCuB2 structure.

a b c (Å): 3.946 3.946 3.946
angles (deg): 60.00 60.00 60.00
Sites, in units of the cell vectors:
Sc 0.000 0.000 0.000
Cu 0.500 0.500 0.500
B 0.750 0.750 0.750
B 0.250 0.250 0.250

The calculation puts the formation energy at 361 meV/atom. The value obtained for the energy above the lowest structure with this stoichiometry is 351.4 meV per atom.

A plane-wave DFT calculation with PBE-GGA was carried out for a geometry-optimized Sc2TlCuB structure.

a b c (Å): 4.722 4.722 4.058
angles (deg): 90.00 90.00 90.00
Sites, in units of the cell vectors:
B 0.000 0.000 0.000
Cu 0.000 0.000 0.500
Sc 0.500 0.000 0.000
Tl 0.500 0.500 0.500
Sc 0.000 0.500 0.000

The calculation puts the formation energy at -166 meV/atom.

A plane-wave DFT calculation with PBE-GGA was carried out for a geometry-optimized Sc2VCuB structure.

a b c (Å): 4.941 3.761 4.941
angles (deg): 90.00 90.00 90.00
Each line ends with the local moment (μB).
Sites, in units of the cell vectors:
Cu 0.000 0.000 0.000  0.02
Sc 0.500 0.000 0.000  0.15
V 0.500 0.500 0.500  2.61
B 0.000 0.500 0.000  -0.03
Sc 0.000 0.000 0.500  0.15

The calculation puts the formation energy at 610 meV/atom.

no.,VASP energy (eV/atom)
1,-3.5289
2,-5.5417
3,-4.8698
4,-3.8769
5,-6.3934
6,-5.9365
7,-5.2076
8,-5.7501
9,-6.5525
10,-5.5851
11,-5.3262
12,-5.9010